# 1
Here is a relaxed structure of Nd2ReN4 from Alexandria via LeMat-Bulk. Energies are from GGA-PBE.

As for the symmetry: No. 11. For the raw formation energy, the calculation gives -0.83 eV/atom. For the density of states at the Fermi level, the calculation gives 0.4045 states/eV/atom.

a = 6.0026 Å, b = 5.9211 Å, c = 6.7918 Å
α = 90.00°, β = 108.08°, γ = 90.00°
Element x y z (fractional)
1 Nd 0.6899 0.7500 0.0407
2 Nd 0.3101 0.2500 0.9593
3 Nd 0.2419 0.2500 0.4378
4 Nd 0.7581 0.7500 0.5622
5 Re 0.2304 0.7500 0.1911
6 Re 0.7696 0.2500 0.8089
7 N 0.4519 0.5135 0.2475
8 N 0.0555 0.7500 0.9179
9 N 0.9445 0.2500 0.0821
10 N 0.4519 0.9865 0.2475
11 N 0.9545 0.2500 0.6377
12 N 0.5481 0.0135 0.7525
13 N 0.5481 0.4865 0.7525
14 N 0.0455 0.7500 0.3623


# 2
Here is a relaxed structure of Nd2Re2N5 from Alexandria via LeMat-Bulk. Energies are from GGA-PBE.

As for the symmetry: No. 46. For the raw formation energy, the calculation gives -0.67 eV/atom. For the density of states at the Fermi level, the calculation gives 0.3152 states/eV/atom.

a = 5.6066 Å, b = 5.5840 Å, c = 8.7535 Å
α = 108.60°, β = 108.68°, γ = 90.00°
Element x y z (fractional)
1 Nd 0.8795 0.3871 0.7660
2 Nd 0.1205 0.6210 0.2340
3 Nd 0.3865 0.8871 0.7660
4 Nd 0.6135 0.1210 0.2340
5 Re 0.0000 0.0053 0.0000
6 Re 0.5000 0.5053 0.0000
7 Re 0.7710 0.7605 0.5000
8 Re 0.2290 0.2605 0.5000
9 N 0.7630 0.7696 0.0275
10 N 0.2370 0.7422 0.9725
11 N 0.7645 0.2696 0.0275
12 N 0.2355 0.2422 0.9725
13 N 0.8163 0.8748 0.7399
14 N 0.1837 0.1350 0.2601
15 N 0.4235 0.3748 0.7399
16 N 0.5765 0.6350 0.2601
17 N 0.9674 0.0405 0.5000
18 N 0.0326 0.5405 0.5000


# 3
Here is a relaxed structure of NdRe2N6 from Alexandria via LeMat-Bulk. Energies are from GGA-PBE.

As for the symmetry: No. 227. For the raw formation energy, the calculation gives 0.59 eV/atom. For the density of states at the Fermi level, the calculation gives 0.5710 states/eV/atom.

a = 7.1645 Å, b = 7.1645 Å, c = 7.1645 Å
α = 60.00°, β = 60.00°, γ = 60.00°
Element x y z (fractional)
1 Nd 0.5000 0.5000 0.5000
2 Nd 0.7500 0.7500 0.7500
3 Re 0.1250 0.1250 0.1250
4 Re 0.1250 0.6250 0.1250
5 Re 0.1250 0.1250 0.6250
6 Re 0.6250 0.1250 0.1250
7 N 0.2004 0.2004 0.7996
8 N 0.7996 0.7996 0.2004
9 N 0.2004 0.7996 0.2004
10 N 0.2004 0.7996 0.7996
11 N 0.4504 0.4504 0.0496
12 N 0.4504 0.0496 0.0496
13 N 0.7996 0.2004 0.7996
14 N 0.0496 0.0496 0.4504
15 N 0.4504 0.0496 0.4504
16 N 0.0496 0.4504 0.4504
17 N 0.7996 0.2004 0.2004
18 N 0.0496 0.4504 0.0496


# 4
Here is a relaxed structure of NdReN2 from Alexandria via LeMat-Bulk. Energies are from GGA-PBE.

As for the symmetry: No. 123. For the raw formation energy, the calculation gives -0.84 eV/atom. For the density of states at the Fermi level, the calculation gives 0.2859 states/eV/atom.

a = 5.2787 Å, b = 5.2787 Å, c = 5.2787 Å
α = 98.01°, β = 115.49°, γ = 115.49°
Element x y z (fractional)
1 Nd 0.5000 0.2500 0.7500
2 Nd 0.5000 0.7500 0.2500
3 Re 0.0000 0.5000 0.5000
4 Re 0.0000 0.0000 0.0000
5 N 0.5000 0.2500 0.2500
6 N 0.9999 0.2500 0.7500
7 N 0.5000 0.7500 0.7500
8 N 0.0001 0.7500 0.2500


> Which of these has the lowest raw formation energy?

NdReN2


What did the first record say?
Here is a relaxed structure of Nd2ReN4 from Alexandria via LeMat-Bulk. Energies are from GGA-PBE.

As for the symmetry: No. 11. For the raw formation energy, the calculation gives -0.83 eV/atom. For the density of states at the Fermi level, the calculation gives 0.4045 states/eV/atom.

a = 6.0026 Å, b = 5.9211 Å, c = 6.7918 Å
α = 90.00°, β = 108.08°, γ = 90.00°
Element x y z (fractional)
1 Nd 0.6899 0.7500 0.0407
2 Nd 0.3101 0.2500 0.9593
3 Nd 0.2419 0.2500 0.4378
4 Nd 0.7581 0.7500 0.5622
5 Re 0.2304 0.7500 0.1911
6 Re 0.7696 0.2500 0.8089
7 N 0.4519 0.5135 0.2475
8 N 0.0555 0.7500 0.9179
9 N 0.9445 0.2500 0.0821
10 N 0.4519 0.9865 0.2475
11 N 0.9545 0.2500 0.6377
12 N 0.5481 0.0135 0.7525
13 N 0.5481 0.4865 0.7525
14 N 0.0455 0.7500 0.3623